CsRhSCl2 | GGA-PBE | optimized geometry

Raw formation energy: -3.89 eV/f.u.
Space-group type: P4/mmm (123)

Unit cell a=5.312 b=5.312 c=4.465 alpha=90.00 beta=90.00 gamma=90.00
Atoms (fractional coordinates):
1 Cs 0.500 0.500 0.500
2 S 0.000 0.000 0.500
3 Cl 0.000 0.500 0.000
4 Cl 0.500 0.000 0.000
5 Rh 0.000 0.000 0.000